Entry 1:
# HfAgBr6

Crystalline HfAgBr6 at its relaxed geometry (PBE, Alexandria via LeMat-Bulk).

Summary:
- uncorrected formation energy (kJ per mole of atoms) = -85.1
- crystal system = triclinic
- DOS(E_F) (states/eV/f.u.) = 6.16

Lattice parameters (Å, degrees): 6.4886 7.3282 7.6140 56.97 64.52 62.96
Last column: nearest neighbours and their distance in Å.
Atoms (fractional coordinates):
Hf (0.0000, 0.0000, 0.0000)  6 Br 2.56-2.66
Ag (0.5000, 0.5000, 0.5000)  4 Br 2.66-2.68
Br (0.0929, 0.3971, 0.7669)  1 Hf 2.65, 1 Ag 2.68
Br (0.7697, 0.1009, 0.7282)  1 Hf 2.66, 1 Ag 2.66
Br (0.6245, 0.1997, 0.2084)  1 Hf 2.56
Br (0.2303, 0.8991, 0.2718)  1 Hf 2.66, 1 Ag 2.66
Br (0.9071, 0.6029, 0.2331)  1 Hf 2.65, 1 Ag 2.68
Br (0.3755, 0.8003, 0.7916)  1 Hf 2.56

---

Entry 2:
# La2MnZnRh

Crystalline La2MnZnRh at its relaxed geometry (PBE, Alexandria via LeMat-Bulk).

Summary:
- crystal system = tetragonal
- DOS(E_F) (states/eV/f.u.) = 4.34
- E_form (eV per atom) = 0.10

Lattice parameters (Å, degrees): 5.3338 4.4274 5.3338 90.00 90.00 90.00
Last column: nearest neighbours and their distance in Å.
Atoms (fractional coordinates):
Zn (0.5000, 0.5000, 0.5000)  8 La 3.47, 4 Rh 3.77
Mn (0.0000, 0.0000, 0.0000)  2 Rh 2.21
Rh (0.0000, 0.5000, 0.0000)  2 Mn 2.21
La (0.0000, 0.0000, 0.5000)  2 Mn 2.67
La (0.5000, 0.0000, 0.0000)  2 Mn 2.67

---

Entry 3:
# NbNiB

Crystalline NbNiB at its relaxed geometry (PBE, Alexandria via LeMat-Bulk).

Summary:
- crystal system = monoclinic
- DOS(E_F) (states/eV/f.u.) = 1.48
- E_form (eV per atom) = -0.56

Lattice parameters (Å, degrees): 5.9284 3.3134 8.5895 90.00 126.96 90.00
Last column: nearest neighbours and their distance in Å.
Atoms (fractional coordinates):
Ni (0.9110, 0.0000, 0.8132)  3 B 2.16-2.29
Ni (0.0890, 0.0000, 0.1868)  3 B 2.16-2.29
Ni (0.9110, 0.5000, 0.3132)  3 B 2.16-2.29
Ni (0.0890, 0.5000, 0.6868)  3 B 2.16-2.29
Nb (0.6781, 0.0000, 0.4280)  5 B 2.40-2.51, 2 Ni 2.67
Nb (0.3219, 0.0000, 0.5720)  5 B 2.40-2.51, 2 Ni 2.67
Nb (0.6781, 0.5000, 0.9280)  5 B 2.40-2.51, 2 Ni 2.67
Nb (0.3219, 0.5000, 0.0720)  5 B 2.40-2.51, 2 Ni 2.67
B (0.3438, 0.0000, 0.8731)  1 B 1.82
B (0.6562, 0.0000, 0.1269)  1 B 1.82
B (0.3438, 0.5000, 0.3731)  1 B 1.82
B (0.6562, 0.5000, 0.6269)  1 B 1.82

---

Entry 4:
# Pr3BPt2Rh3

Crystalline Pr3BPt2Rh3 at its relaxed geometry (PBE, Alexandria via LeMat-Bulk).

Summary:
- crystal system = hexagonal
- DOS(E_F) (states/eV/f.u.) = 3.38
- E_form (eV per atom) = -0.71

Lattice parameters (Å, degrees): 3.5967 7.4903 7.4903 120.00 90.00 90.00
Last column: nearest neighbours and their distance in Å.
Atoms (fractional coordinates):
Pr (0.0000, 0.0000, 0.3813)  1 B 2.86, 4 Pt 2.95, 4 Rh 3.06
Pr (0.0000, 0.6187, 0.6187)  1 B 2.86, 4 Pt 2.95, 4 Rh 3.06
Pr (0.0000, 0.3813, 0.0000)  1 B 2.86, 4 Pt 2.95, 4 Rh 3.06
B (0.0000, 0.0000, 0.0000)  6 Rh 2.39
Pt (0.5000, 0.3333, 0.6667)  6 Pr 2.95, 3 Rh 3.07
Pt (0.5000, 0.6667, 0.3333)  6 Pr 2.95, 3 Rh 3.07
Rh (0.5000, 0.7905, 0.0000)  2 B 2.39
Rh (0.5000, 0.2095, 0.2095)  2 B 2.39
Rh (0.5000, 0.0000, 0.7905)  2 B 2.39

---

Entry 5:
# Cs2ThPd2Se4

Crystalline Cs2ThPd2Se4 at its relaxed geometry (PBE, Alexandria via LeMat-Bulk).

Summary:
- uncorrected formation energy (kJ per mole of atoms) = -105.8
- crystal system = monoclinic
- DOS(E_F) (states/eV/f.u.) = 2.98

Lattice parameters (Å, degrees): 4.3285 8.4755 8.1576 106.87 105.39 90.00
Last column: nearest neighbours and their distance in Å.
Atoms (fractional coordinates):
Cs (0.1367, 0.5731, 0.2734)  7 Se 3.63-3.87, 1 Pd 3.77
Cs (0.8633, 0.4269, 0.7266)  7 Se 3.63-3.87, 1 Pd 3.77
Th (0.0000, 0.0000, 0.0000)  6 Se 2.94-2.96
Pd (0.6907, 0.0071, 0.3815)  3 Se 2.51-2.60
Pd (0.3093, 0.9929, 0.6185)  3 Se 2.51-2.60
Se (0.1951, 0.1605, 0.3903)  3 Pd 2.51-2.60
Se (0.8049, 0.8395, 0.6097)  3 Pd 2.51-2.60
Se (0.5150, 0.7758, 0.0301)  1 Pd 2.87, 2 Th 2.94
Se (0.4850, 0.2242, 0.9699)  1 Pd 2.87, 2 Th 2.94

---

Entry 6:
# ZnAg2Pd

Crystalline ZnAg2Pd at its relaxed geometry (PBE, Alexandria via LeMat-Bulk).

Summary:
- crystal system = tetragonal
- DOS(E_F) (states/eV/f.u.) = 1.08
- E_form (eV per atom) = 0.04

Lattice parameters (Å, degrees): 3.8023 3.8023 10.1340 79.19 79.19 90.00
Last column: nearest neighbours and their distance in Å.
Atoms (fractional coordinates):
Zn (0.5000, 0.5000, 0.0000)  4 Pd 2.69, 4 Ag 2.79
Zn (0.2500, 0.7500, 0.5000)  4 Pd 2.69, 4 Ag 2.79
Pd (0.0000, 0.0000, 0.0000)  4 Zn 2.69, 4 Ag 2.79
Pd (0.7500, 0.2500, 0.5000)  4 Zn 2.69, 4 Ag 2.79
Ag (0.6231, 0.1250, 0.2500)  4 Ag 2.68-2.70, 2 Zn 2.79, 2 Pd 2.79
Ag (0.1269, 0.6250, 0.2500)  4 Ag 2.68-2.70, 2 Zn 2.79, 2 Pd 2.79
Ag (0.3750, 0.3769, 0.7500)  4 Ag 2.68-2.70, 2 Zn 2.79, 2 Pd 2.79
Ag (0.8750, 0.8731, 0.7500)  4 Ag 2.68-2.70, 2 Zn 2.79, 2 Pd 2.79

---

Entry 7:
# TlGeC

Crystalline TlGeC at its relaxed geometry (PBE, Alexandria via LeMat-Bulk).

Summary:
- crystal system = triclinic
- DOS(E_F) (states/eV/f.u.) = 0.72
- E_form (eV per atom) = 0.56

Lattice parameters (Å, degrees): 4.0781 6.2504 6.2595 95.68 89.47 109.26
Last column: nearest neighbours and their distance in Å.
Atoms (fractional coordinates):
C (0.3758, 0.3753, 0.8168)  1 C 1.25
C (0.4808, 0.5880, 0.8380)  1 C 1.25
Tl (0.4784, 0.5665, 0.3062)  2 C 2.95-3.16
Tl (0.7601, 0.1361, 0.3632)  3 Ge 2.99-3.11, 3 Tl 3.30-3.34
Ge (0.6425, 0.9149, 0.9114)  1 C 1.94
Ge (0.2139, 0.0509, 0.7197)  1 C 1.95

---

Entry 8:
# ZnIn2SnBr

Crystalline ZnIn2SnBr at its relaxed geometry (PBE, Alexandria via LeMat-Bulk).

Summary:
- uncorrected formation energy (kJ per mole of atoms) = 17.7
- crystal system = tetragonal
- DOS(E_F) (states/eV/f.u.) = 3.02

Lattice parameters (Å, degrees): 5.1830 5.5571 5.1830 90.00 90.00 90.00
Last column: nearest neighbours and their distance in Å.
Atoms (fractional coordinates):
Zn (0.0000, 0.0000, 0.0000)  4 In 2.59, 2 Br 2.78
Sn (0.5000, 0.5000, 0.5000)  4 Br 3.66, 8 In 3.80
Br (0.0000, 0.5000, 0.0000)  2 Zn 2.78
In (0.0000, 0.0000, 0.5000)  2 Zn 2.59
In (0.5000, 0.0000, 0.0000)  2 Zn 2.59

---

Entry 9:
# Ac2HoMg3Hg12

Crystalline Ac2HoMg3Hg12 at its relaxed geometry (PBE, Alexandria via LeMat-Bulk).

Summary:
- crystal system = trigonal
- DOS(E_F) (states/eV/f.u.) = 13.36
- E_form (eV per atom) = -0.17

Lattice parameters (Å, degrees): 12.6323 12.6323 12.6323 32.31 32.31 32.31
Last column: nearest neighbours and their distance in Å.
Atoms (fractional coordinates):
Ac (0.6382, 0.6382, 0.6382)  12 Hg 3.56-3.65
Ac (0.3618, 0.3618, 0.3618)  12 Hg 3.56-3.65
Ho (0.0000, 0.0000, 0.0000)  6 Hg 2.95
Mg (0.5000, 0.0000, 0.0000)  4 Hg 2.83
Mg (0.0000, 0.5000, 0.0000)  4 Hg 2.83
Mg (0.0000, 0.0000, 0.5000)  4 Hg 2.83
Hg (0.4062, 0.4062, 0.8385)  2 Mg 2.83, 4 Hg 3.04-3.05
Hg (0.8771, 0.8771, 0.4126)  1 Ho 2.95, 4 Hg 3.05-3.26
Hg (0.4126, 0.8771, 0.8771)  1 Ho 2.95, 4 Hg 3.05-3.26
Hg (0.8385, 0.4062, 0.4062)  2 Mg 2.83, 4 Hg 3.04-3.05
Hg (0.8771, 0.4126, 0.8771)  1 Ho 2.95, 4 Hg 3.05-3.26
Hg (0.4062, 0.8385, 0.4062)  2 Mg 2.83, 4 Hg 3.04-3.05
Hg (0.5938, 0.5938, 0.1615)  2 Mg 2.83, 4 Hg 3.04-3.05
Hg (0.1229, 0.1229, 0.5874)  1 Ho 2.95, 4 Hg 3.05-3.26
Hg (0.5874, 0.1229, 0.1229)  1 Ho 2.95, 4 Hg 3.05-3.26
Hg (0.1615, 0.5938, 0.5938)  2 Mg 2.83, 4 Hg 3.04-3.05
Hg (0.1229, 0.5874, 0.1229)  1 Ho 2.95, 4 Hg 3.05-3.26
Hg (0.5938, 0.1615, 0.5938)  2 Mg 2.83, 4 Hg 3.04-3.05

---

Entry 10:
# ScTlReO6

Crystalline ScTlReO6 at its relaxed geometry (PBE, Alexandria via LeMat-Bulk).

Summary:
- uncorrected formation energy (kJ per mole of atoms) = -178.3
- crystal system = trigonal
- DOS(E_F) (states/eV/f.u.) = 3.17

Lattice parameters (Å, degrees): 5.3658 5.3661 4.9972 89.96 90.01 59.99
Last column: nearest neighbours and their distance in Å.
Atoms (fractional coordinates):
Sc (0.6666, 0.6667, 0.5000)  6 O 2.10
Tl (0.9999, 0.0000, 0.0000)  6 O 2.47
Re (0.3332, 0.3333, 0.5000)  6 O 1.91
O (0.0261, 0.3632, 0.2833)  1 Re 1.91, 1 Sc 2.10
O (0.3631, 0.0260, 0.7167)  1 Re 1.91, 1 Sc 2.10
O (0.6111, 0.3627, 0.7165)  1 Re 1.91, 1 Sc 2.10
O (0.0263, 0.6106, 0.7166)  1 Re 1.91, 1 Sc 2.10
O (0.3628, 0.6112, 0.2835)  1 Re 1.91, 1 Sc 2.10
O (0.6107, 0.0264, 0.2834)  1 Re 1.91, 1 Sc 2.10

---

Entry 11:
# MgZn2Se2

Crystalline MgZn2Se2 at its relaxed geometry (PBE, Alexandria via LeMat-Bulk).

Summary:
- uncorrected formation energy (kJ per mole of atoms) = -51.5
- crystal system = monoclinic

Lattice parameters (Å, degrees): 6.1296 6.1296 7.6226 74.79 74.79 53.19
Last column: nearest neighbours and their distance in Å.
Atoms (fractional coordinates):
Mg (0.1914, 0.8086, 0.7500)  4 Se 2.66-2.84, 2 Zn 2.89
Mg (0.8086, 0.1914, 0.2500)  4 Se 2.66-2.84, 2 Zn 2.89
Zn (0.5462, 0.2137, 0.8009)  3 Se 2.47-2.73, 1 Zn 2.52
Zn (0.7863, 0.4538, 0.6991)  3 Se 2.47-2.73, 1 Zn 2.52
Zn (0.4538, 0.7863, 0.1991)  3 Se 2.47-2.73, 1 Zn 2.52
Zn (0.2137, 0.5462, 0.3009)  3 Se 2.47-2.73, 1 Zn 2.52
Se (0.1531, 0.1669, 0.4188)  3 Zn 2.47-2.73, 1 Mg 2.66
Se (0.8331, 0.8469, 0.0812)  3 Zn 2.47-2.73, 1 Mg 2.66
Se (0.8469, 0.8331, 0.5812)  3 Zn 2.47-2.73, 1 Mg 2.66
Se (0.1669, 0.1531, 0.9188)  3 Zn 2.47-2.73, 1 Mg 2.66

---

Entry 12:
# Sr2Ca2Cd3

Crystalline Sr2Ca2Cd3 at its relaxed geometry (PBE, Alexandria via LeMat-Bulk).

Summary:
- crystal system = triclinic
- DOS(E_F) (states/eV/f.u.) = 5.44
- E_form (eV per atom) = -0.26

Lattice parameters (Å, degrees): 5.5213 5.5205 9.7735 90.05 106.26 120.34
Last column: nearest neighbours and their distance in Å.
Atoms (fractional coordinates):
Sr (0.2487, 0.1237, 0.3726)  5 Cd 3.43-3.63
Sr (0.7513, 0.8763, 0.6274)  5 Cd 3.43-3.63
Ca (0.7459, 0.3727, 0.1189)  7 Cd 3.26-3.37
Ca (0.2541, 0.6273, 0.8811)  7 Cd 3.26-3.37
Cd (0.0000, 0.0000, 0.0000)  6 Ca 3.36-3.37, 2 Sr 3.44
Cd (0.5105, 0.2558, 0.7656)  4 Ca 3.26-3.36, 4 Sr 3.43-3.63
Cd (0.4895, 0.7442, 0.2344)  4 Ca 3.26-3.36, 4 Sr 3.43-3.63

---

The calculation returns the following electronic total energy values, one per record and in order: -3.737; -5.433; -8.068; -6.835; -4.813; -3.006; -4.840; -2.301; -1.347; -7.503; -2.756; -1.702 eV per atom.
The calculation returns the following calculated volume values, one per record and in order: 262; 126; 34; 175; 275; 71; 75; 149; 512; 125; 110; 243 Å³/f.u..